No. 1
Material: PmSm2YAs4
Method: DFT, PBE
State: relaxed

Unit cell a=4.201 b=7.271 c=7.271 alpha=109.47 beta=90.00 gamma=90.00
Fractional positions:
Pm 0.500 0.500 0.000
Sm 0.500 0.000 0.500
Sm 0.000 0.500 0.500
Y 0.000 0.000 0.000
As 0.500 0.246 0.247
As 0.500 0.754 0.753
As 0.000 0.247 0.751
As 0.000 0.753 0.249

Summary:
- energy (eV per atom) = -6.439
- space-group type = P2/m (10)
- crystal system = monoclinic


No. 2
Material: Pm2SmY3As6
Method: DFT, PBE
State: relaxed

Unit cell a=7.237 b=7.237 c=7.233 alpha=99.59 beta=99.59 gamma=119.99
Fractional positions:
Pm 0.333 0.667 0.000
Pm 0.667 0.333 0.000
Sm 0.000 0.000 0.000
Y 0.167 0.833 0.500
Y 0.833 0.167 0.500
Y 0.500 0.500 0.500
As 0.915 0.582 0.744
As 0.753 0.753 0.256
As 0.085 0.418 0.256
As 0.582 0.915 0.744
As 0.247 0.247 0.744
As 0.418 0.085 0.256

Summary:
- energy (eV per atom) = -6.666
- space-group type = C2/m (12)
- crystal system = monoclinic


No. 3
Material: Pm2SmYAs4
Method: DFT, PBE
State: relaxed

Unit cell a=4.207 b=7.281 c=7.280 alpha=109.47 beta=90.00 gamma=90.00
Fractional positions:
Pm 0.500 0.000 0.500
Pm 0.000 0.500 0.500
Sm 0.500 0.500 0.000
Y 0.000 0.000 0.000
As 0.500 0.246 0.245
As 0.500 0.754 0.755
As 0.000 0.249 0.753
As 0.000 0.751 0.247

Summary:
- energy (eV per atom) = -6.443
- space-group type = P2/m (10)
- crystal system = monoclinic


No. 4
Material: PmSm2ZrAs4
Method: DFT, PBE
State: relaxed

Unit cell a=4.123 b=7.144 c=7.141 alpha=109.27 beta=90.00 gamma=90.00
Fractional positions:
Pm 0.500 0.500 0.000
Sm 0.500 0.000 0.500
Sm 0.000 0.500 0.500
Zr 0.000 0.000 0.000
As 0.500 0.235 0.236
As 0.500 0.765 0.764
As 0.000 0.241 0.757
As 0.000 0.759 0.243

Summary:
- energy (eV per atom) = -6.579
- space-group type = P2/m (10)
- crystal system = monoclinic


No. 5
Material: Pm2SmZrAs4
Method: DFT, PBE
State: relaxed

Unit cell a=4.128 b=7.151 c=7.153 alpha=109.27 beta=90.00 gamma=90.00
Fractional positions:
Pm 0.500 0.000 0.500
Pm 0.000 0.500 0.500
Sm 0.500 0.500 0.000
Zr 0.000 0.000 0.000
As 0.500 0.235 0.234
As 0.500 0.765 0.766
As 0.000 0.243 0.759
As 0.000 0.757 0.241

Summary:
- energy (eV per atom) = -6.585
- space-group type = P2/m (10)
- crystal system = monoclinic


No. 6
Material: Pm2SnAs
Method: DFT, PBE
State: relaxed

Unit cell a=5.351 b=5.351 c=5.351 alpha=60.00 beta=60.00 gamma=60.00
Fractional positions:
As 0.000 0.000 0.000
Sn 0.500 0.500 0.500
Pm 0.250 0.250 0.250
Pm 0.750 0.750 0.750

Summary:
- ΔE to the lowest computed polymorph (meV/atom) = 425.3
- space-group type = Fm-3m (225)
- crystal system = cubic


No. 7
Material: PmSn2As
Method: DFT, PBE
State: relaxed

Unit cell a=5.251 b=4.393 c=4.393 alpha=90.00 beta=90.00 gamma=90.00
Fractional positions:
As 0.500 0.000 0.000
Sn 0.000 0.000 0.500
Sn 0.000 0.500 0.000
Pm 0.500 0.500 0.500

Summary:
- energy (eV per atom) = -4.866
- space-group type = P4/mmm (123)
- crystal system = tetragonal


No. 8
Material: Pm3SnAs
Method: DFT, PBE
State: relaxed

Unit cell a=4.404 b=8.609 c=15.688 alpha=90.00 beta=90.00 gamma=90.00
Fractional positions:
Pm 0.250 0.351 0.532
Pm 0.750 0.828 0.218
Pm 0.750 0.518 0.892
Pm 0.750 0.018 0.608
Pm 0.750 0.649 0.468
Pm 0.250 0.982 0.392
Pm 0.250 0.851 0.968
Pm 0.750 0.328 0.282
Pm 0.250 0.672 0.718
Pm 0.250 0.172 0.782
Pm 0.750 0.149 0.032
Pm 0.250 0.482 0.108
Sn 0.750 0.894 0.814
Sn 0.250 0.106 0.186
Sn 0.750 0.394 0.686
Sn 0.250 0.606 0.314
As 0.250 0.311 0.947
As 0.250 0.811 0.553
As 0.750 0.189 0.447
As 0.750 0.689 0.053

Summary:
- ΔE to the lowest computed polymorph (meV/atom) = 0.0
- space-group type = Pnma (62)
- crystal system = orthorhombic


No. 9
Material: Pm3SnAs
Method: DFT, PBE
State: relaxed

Unit cell a=5.507 b=5.507 c=5.507 alpha=90.00 beta=90.00 gamma=90.00
Fractional positions:
As 0.000 0.000 0.000
Sn 0.500 0.500 0.500
Pm 0.000 0.500 0.000
Pm 0.000 0.000 0.500
Pm 0.500 0.000 0.000

Summary:
- ΔE to the lowest computed polymorph (meV/atom) = 328.5
- space-group type = Pm-3m (221)
- crystal system = cubic


No. 10
Material: Pm2SnAs
Method: DFT, PBE
State: relaxed

Unit cell a=3.640 b=3.640 c=8.030 alpha=90.00 beta=90.00 gamma=90.00
Fractional positions:
As 0.500 0.500 0.000
Sn 0.500 0.500 0.500
Pm 0.000 0.000 0.781
Pm 0.000 0.000 0.219

Summary:
- ΔE to the lowest computed polymorph (meV/atom) = 257.2
- space-group type = P4/mmm (123)
- crystal system = tetragonal


No. 11
Material: Pm8Sn5As
Method: DFT, PBE
State: relaxed

Unit cell a=8.182 b=8.182 c=8.182 alpha=109.70 beta=109.02 gamma=109.70
Fractional positions:
Pm 0.128 0.740 0.006
Pm 0.994 0.122 0.734
Pm 0.768 0.251 0.376
Pm 0.624 0.392 0.875
Pm 0.483 0.608 0.232
Pm 0.611 0.878 0.872
Pm 0.266 0.260 0.389
Pm 0.125 0.749 0.517
Sn 0.997 0.371 0.123
Sn 0.877 0.874 0.248
Sn 0.752 0.629 0.626
Sn 0.500 0.000 0.500
Sn 0.374 0.126 0.003
As 0.250 0.500 0.750

Summary:
- energy (eV per atom) = -5.304
- space-group type = I-4 (82)
- crystal system = tetragonal


No. 12
Material: Pm2SnAs
Method: DFT, PBE
State: relaxed

Unit cell a=4.310 b=4.442 c=12.109 alpha=100.57 beta=90.00 gamma=90.00
Fractional positions:
Pm 0.750 0.689 0.378
Pm 0.250 0.311 0.622
Pm 0.750 0.932 0.863
Pm 0.250 0.068 0.137
Sn 0.250 0.455 0.910
Sn 0.750 0.545 0.090
As 0.250 0.189 0.378
As 0.750 0.811 0.622

Summary:
- ΔE to the lowest computed polymorph (meV/atom) = 0.0
- space-group type = Cmcm (63)
- crystal system = orthorhombic


No. 13
Material: Pm2SnAs
Method: DFT, PBE
State: relaxed

Unit cell a=4.172 b=4.172 c=8.142 alpha=75.16 beta=75.16 gamma=60.00
Fractional positions:
As 0.500 0.500 0.500
Sn 0.000 0.000 0.000
Pm 0.760 0.760 0.721
Pm 0.240 0.240 0.279

Summary:
- ΔE to the lowest computed polymorph (meV/atom) = 69.2
- space-group type = R-3m (166)
- crystal system = trigonal


No. 14
Material: Pm6SnAs4
Method: DFT, PBE
State: relaxed

Unit cell a=4.244 b=7.300 c=21.481 alpha=90.00 beta=90.00 gamma=106.90
Fractional positions:
Pm 0.500 0.000 0.000
Pm 0.500 0.000 0.500
Pm 0.042 0.085 0.339
Pm 0.958 0.915 0.661
Pm 0.958 0.915 0.839
Pm 0.042 0.085 0.161
Pm 0.773 0.545 0.417
Pm 0.227 0.455 0.583
Pm 0.227 0.455 0.917
Pm 0.773 0.545 0.083
Pm 0.330 0.660 0.250
Pm 0.670 0.340 0.750
Sn 0.662 0.324 0.250
Sn 0.338 0.676 0.750
As 0.862 0.725 0.542
As 0.409 0.818 0.125
As 0.138 0.275 0.458
As 0.591 0.182 0.875
As 0.862 0.725 0.958
As 0.138 0.275 0.042
As 0.591 0.182 0.625
As 0.409 0.818 0.375

Summary:
- energy (eV per atom) = -5.921
- space-group type = Cmcm (63)
- crystal system = orthorhombic


No. 15
Material: Pm6Sn2Te3As
Method: DFT, PBE
State: relaxed

Unit cell a=4.439 b=8.944 c=9.968 alpha=103.29 beta=102.87 gamma=90.00
Fractional positions:
Pm 0.341 0.914 0.682
Pm 0.668 0.577 0.336
Pm 0.659 0.086 0.318
Pm 0.002 0.232 0.004
Pm 0.998 0.768 0.996
Pm 0.332 0.423 0.664
Sn 0.834 0.668 0.668
Sn 0.166 0.332 0.332
Te 0.500 0.500 0.000
Te 0.833 0.166 0.665
Te 0.167 0.834 0.335
As 0.500 0.000 0.000

Summary:
- energy (eV per atom) = -5.472
- space-group type = C2/m (12)
- crystal system = monoclinic


No. 16
Material: Pm8SnTe4As3
Method: DFT, PBE
State: relaxed

Unit cell a=8.727 b=8.856 c=8.727 alpha=119.52 beta=120.00 gamma=90.00
Fractional positions:
Pm 0.246 0.727 0.981
Pm 0.246 0.727 0.492
Pm 0.260 0.280 0.520
Pm 0.735 0.727 0.981
Pm 0.265 0.273 0.019
Pm 0.740 0.720 0.480
Pm 0.754 0.273 0.508
Pm 0.754 0.273 0.019
Sn 0.000 0.500 0.000
Te 0.500 0.000 0.000
Te 0.500 0.000 0.500
Te 0.000 0.000 0.000
Te 0.000 0.000 0.500
As 0.500 0.500 0.000
As 0.500 0.500 0.500
As 0.000 0.500 0.500

Summary:
- energy (eV per atom) = -5.714
- space-group type = R-3m (166)
- crystal system = trigonal


No. 17
Material: SrPmAs2
Method: DFT, PBE
State: relaxed

Unit cell a=5.286 b=5.286 c=5.286 alpha=60.00 beta=60.00 gamma=60.00
Fractional positions:
Sr 0.500 0.500 0.500
As 0.250 0.250 0.250
As 0.750 0.750 0.750
Pm 0.000 0.000 0.000

Summary:
- ΔE to the lowest computed polymorph (meV/atom) = 232.1
- space-group type = Fm-3m (225)
- crystal system = cubic


No. 18
Material: SrPmAs
Method: DFT, PBE
State: relaxed

Unit cell a=3.816 b=3.816 c=7.334 alpha=105.08 beta=105.08 gamma=90.00
Fractional positions:
Sr 0.032 0.032 0.064
As 0.684 0.684 0.368
Pm 0.284 0.284 0.567

Summary:
- ΔE to the lowest computed polymorph (meV/atom) = 89.1
- space-group type = I4mm (107)
- crystal system = tetragonal


No. 19
Material: SrPmAs
Method: DFT, PBE
State: relaxed

Unit cell a=5.099 b=5.099 c=5.099 alpha=60.00 beta=60.00 gamma=60.00
Fractional positions:
Sr 0.500 0.500 0.500
As 0.250 0.250 0.250
Pm 0.000 0.000 0.000

Summary:
- ΔE to the lowest computed polymorph (meV/atom) = 112.1
- space-group type = F-43m (216)
- crystal system = cubic


No. 20
Material: SrPmAs2
Method: DFT, PBE
State: relaxed

Unit cell a=4.269 b=4.269 c=7.942 alpha=74.41 beta=74.41 gamma=60.00
Fractional positions:
Sr 0.497 0.497 0.510
Pm 0.669 0.669 0.992
As 0.076 0.076 0.772
As 0.258 0.258 0.226

Summary:
- ΔE to the lowest computed polymorph (meV/atom) = 67.0
- space-group type = R3m (160)
- crystal system = trigonal


No. 21
Material: SrPmAs2
Method: DFT, PBE
State: relaxed

Unit cell a=3.285 b=5.573 c=5.573 alpha=90.00 beta=90.00 gamma=90.00
Fractional positions:
Sr 0.500 0.500 0.500
As 0.000 0.000 0.500
As 0.000 0.500 0.000
Pm 0.500 0.000 0.000

Summary:
- ΔE to the lowest computed polymorph (meV/atom) = 206.0
- space-group type = P4/mmm (123)
- crystal system = tetragonal


No. 22
Material: SrPmAs
Method: DFT, PBE
State: relaxed

Unit cell a=7.063 b=4.276 c=4.276 alpha=120.00 beta=90.00 gamma=90.00
Fractional positions:
Sr 0.744 0.667 0.333
As 0.023 0.000 0.000
Pm 0.234 0.333 0.667

Summary:
- ΔE to the lowest computed polymorph (meV/atom) = 0.0
- space-group type = P3m1 (156)
- crystal system = trigonal


No. 23
Material: SrPmAs
Method: DFT, PBE
State: relaxed

Unit cell a=4.252 b=4.250 c=14.245 alpha=90.00 beta=90.00 gamma=120.02
Fractional positions:
As 0.610 0.220 0.000
As 0.279 0.558 0.500
Pm 0.612 0.225 0.379
Pm 0.612 0.225 0.621
Sr 0.276 0.553 0.874
Sr 0.276 0.553 0.126

Summary:
- ΔE to the lowest computed polymorph (meV/atom) = 183.4
- space-group type = Amm2 (38)
- crystal system = orthorhombic


No. 24
Material: SrPmAs2
Method: DFT, PBE
State: relaxed

Unit cell a=4.306 b=4.306 c=7.718 alpha=73.80 beta=73.80 gamma=60.00
Fractional positions:
Sr 0.500 0.500 0.500
As 0.257 0.257 0.229
As 0.743 0.743 0.771
Pm 0.000 0.000 0.000

Summary:
- ΔE to the lowest computed polymorph (meV/atom) = 0.0
- space-group type = R-3m (166)
- crystal system = trigonal


No. 25
Material: SrTbPm2As4
Method: DFT, PBE
State: relaxed

Unit cell a=4.255 b=7.388 c=7.418 alpha=70.64 beta=90.00 gamma=90.00
Fractional positions:
Sr 0.500 0.500 0.000
Tb 0.000 0.500 0.500
Pm 0.000 0.000 0.000
Pm 0.500 0.000 0.500
As 0.000 0.758 0.737
As 0.000 0.242 0.263
As 0.500 0.750 0.259
As 0.500 0.250 0.741

Summary:
- energy (eV per atom) = -5.643
- space-group type = P2/m (10)
- crystal system = monoclinic


Number 1: size of the total moment 0.0 μB/f.u.. Number 2: size of the total moment 0.0 μB/f.u.. Number 3: size of the total moment 0.0 μB/f.u.. Number 4: size of the total moment 0.0 μB/f.u.. Number 5: size of the total moment 0.0 μB/f.u.. Number 6: size of the total moment 0.0 μB/f.u.. Number 7: size of the total moment 0.0 μB/f.u.. Number 8: size of the total moment 0.6 μB/f.u.. Number 9: size of the total moment 0.0 μB/f.u.. Number 10: size of the total moment 0.0 μB/f.u.. Number 11: size of the total moment 0.0 μB/f.u.. Number 12: size of the total moment 0.0 μB/f.u.. Number 13: size of the total moment 0.0 μB/f.u.. Number 14: size of the total moment 0.9 μB/f.u.. Number 15: size of the total moment 0.0 μB/f.u.. Number 16: size of the total moment 0.0 μB/f.u.. Number 17: size of the total moment 0.0 μB/f.u.. Number 18: size of the total moment 0.0 μB/f.u.. Number 19: size of the total moment 0.0 μB/f.u.. Number 20: size of the total moment 0.0 μB/f.u.. Number 21: size of the total moment 0.0 μB/f.u.. Number 22: size of the total moment 0.3 μB/f.u.. Number 23: size of the total moment 1.0 μB/f.u.. Number 24: size of the total moment 0.0 μB/f.u.. Number 25: size of the total moment 0.0 μB/f.u..